Density functional theory data (PBE) for crystalline GeIr2Pt at its relaxed geometry.

abc: 3.9457 3.9457 3.8300
angles: 90.00 90.00 90.00
Closest atoms and distances in Å follow each position.
Sites, in units of the cell vectors:
Ge: 0.0000 0.0000 0.0000  8 Ir 2.75, 4 Pt 2.79
Ir: 0.0000 0.5000 0.5000  4 Ge 2.75, 4 Pt 2.75, 4 Ir 2.79
Ir: 0.5000 0.0000 0.5000  4 Ge 2.75, 4 Pt 2.75, 4 Ir 2.79
Pt: 0.5000 0.5000 0.0000  8 Ir 2.75, 4 Ge 2.79

## Properties
SG = P4/mmm (123)
energy relative to the elements = -73 meV/atom
total energy = -28.671 eV/f.u.

Density functional theory data (PBE) for crystalline GeIr2Pt2 at its relaxed geometry.

abc: 6.4048 6.4048 3.9796
angles: 90.00 90.00 90.00
Closest atoms and distances in Å follow each position.
Sites, in units of the cell vectors:
Ge: 0.0000 0.0000 0.0000  4 Ir 2.47
Ge: 0.5000 0.5000 0.0000  4 Ir 2.47
Ir: 0.1416 0.3584 0.0000  2 Ge 2.47, 1 Ir 2.57, 2 Pt 2.68
Ir: 0.3584 0.8584 0.0000  2 Ge 2.47, 1 Ir 2.57, 2 Pt 2.68
Ir: 0.6416 0.1416 0.0000  2 Ge 2.47, 1 Ir 2.57, 2 Pt 2.68
Ir: 0.8584 0.6416 0.0000  2 Ge 2.47, 1 Ir 2.57, 2 Pt 2.68
Pt: 0.1603 0.6603 0.5000  6 Ir 2.68-2.78, 1 Pt 2.90
Pt: 0.3397 0.1603 0.5000  6 Ir 2.68-2.78, 1 Pt 2.90
Pt: 0.6603 0.8397 0.5000  6 Ir 2.68-2.78, 1 Pt 2.90
Pt: 0.8397 0.3397 0.5000  6 Ir 2.68-2.78, 1 Pt 2.90

## Properties
SG = P4/mbm (127)
energy relative to the elements = 112 meV/atom
total energy = -33.863 eV/f.u.

Repeat the second record exactly.
Density functional theory data (PBE) for crystalline GeIr2Pt2 at its relaxed geometry.

abc: 6.4048 6.4048 3.9796
angles: 90.00 90.00 90.00
Closest atoms and distances in Å follow each position.
Sites, in units of the cell vectors:
Ge: 0.0000 0.0000 0.0000  4 Ir 2.47
Ge: 0.5000 0.5000 0.0000  4 Ir 2.47
Ir: 0.1416 0.3584 0.0000  2 Ge 2.47, 1 Ir 2.57, 2 Pt 2.68
Ir: 0.3584 0.8584 0.0000  2 Ge 2.47, 1 Ir 2.57, 2 Pt 2.68
Ir: 0.6416 0.1416 0.0000  2 Ge 2.47, 1 Ir 2.57, 2 Pt 2.68
Ir: 0.8584 0.6416 0.0000  2 Ge 2.47, 1 Ir 2.57, 2 Pt 2.68
Pt: 0.1603 0.6603 0.5000  6 Ir 2.68-2.78, 1 Pt 2.90
Pt: 0.3397 0.1603 0.5000  6 Ir 2.68-2.78, 1 Pt 2.90
Pt: 0.6603 0.8397 0.5000  6 Ir 2.68-2.78, 1 Pt 2.90
Pt: 0.8397 0.3397 0.5000  6 Ir 2.68-2.78, 1 Pt 2.90

## Properties
SG = P4/mbm (127)
energy relative to the elements = 112 meV/atom
total energy = -33.863 eV/f.u.

Look up the total energy of the first one.
-28.671 eV/f.u.

Which value of total energy does entry 1 give?
-28.671 eV/f.u.

What did the second record say?
Density functional theory data (PBE) for crystalline GeIr2Pt2 at its relaxed geometry.

abc: 6.4048 6.4048 3.9796
angles: 90.00 90.00 90.00
Closest atoms and distances in Å follow each position.
Sites, in units of the cell vectors:
Ge: 0.0000 0.0000 0.0000  4 Ir 2.47
Ge: 0.5000 0.5000 0.0000  4 Ir 2.47
Ir: 0.1416 0.3584 0.0000  2 Ge 2.47, 1 Ir 2.57, 2 Pt 2.68
Ir: 0.3584 0.8584 0.0000  2 Ge 2.47, 1 Ir 2.57, 2 Pt 2.68
Ir: 0.6416 0.1416 0.0000  2 Ge 2.47, 1 Ir 2.57, 2 Pt 2.68
Ir: 0.8584 0.6416 0.0000  2 Ge 2.47, 1 Ir 2.57, 2 Pt 2.68
Pt: 0.1603 0.6603 0.5000  6 Ir 2.68-2.78, 1 Pt 2.90
Pt: 0.3397 0.1603 0.5000  6 Ir 2.68-2.78, 1 Pt 2.90
Pt: 0.6603 0.8397 0.5000  6 Ir 2.68-2.78, 1 Pt 2.90
Pt: 0.8397 0.3397 0.5000  6 Ir 2.68-2.78, 1 Pt 2.90

## Properties
SG = P4/mbm (127)
energy relative to the elements = 112 meV/atom
total energy = -33.863 eV/f.u.